[1]
VASP calculation (PBE-GGA) on a geometry-optimized KP2ClO structure.

It has space group P4/mmm (No. 123), with a = 6.621 Å, b = 6.621 Å, c = 4.828 Å, α = 90.00°, β = 90.00° and γ = 90.00°. The distinct sites, in fractional coordinates, are K at (0.000, 0.000, 0.000), P at (0.000, 0.500, 0.000), Cl at (0.500, 0.500, 0.500) and O at (0.000, 0.000, 0.500).

Its volume is 42.32 A^3/atom. As for the total DFT energy (no corrections): -2.30 eV per atom. The offset from the most stable computed form is 158.34 kJ per mole of atoms.

[2]
VASP calculation (PBE-GGA) on a geometry-optimized KPCl2O structure.

It has space group P4/mmm (No. 123), with a = 6.008 Å, b = 6.008 Å, c = 7.076 Å, α = 90.00°, β = 90.00° and γ = 90.00°. The distinct sites, in fractional coordinates, are K at (0.000, 0.000, 0.000), P at (0.000, 0.000, 0.500), Cl at (0.000, 0.500, 0.000) and O at (0.500, 0.500, 0.500).

Its volume is 51.08 A^3/atom. As for the total DFT energy (no corrections): -2.20 eV per atom. The offset from the most stable computed form is 138.31 kJ per mole of atoms.

[3]
VASP calculation (PBE-GGA) on a geometry-optimized KPClO2 structure.

It has space group P4/mmm (No. 123), with a = 4.596 Å, b = 4.596 Å, c = 7.765 Å, α = 90.00°, β = 90.00° and γ = 90.00°. The distinct sites, in fractional coordinates, are K at (0.000, 0.000, 0.000), P at (0.000, 0.000, 0.500), Cl at (0.500, 0.500, 0.500) and O at (0.000, 0.500, 0.000).

Its volume is 32.80 A^3/atom. As for the total DFT energy (no corrections): -2.58 eV per atom. The offset from the most stable computed form is 43.30 kJ per mole of atoms.

[4]
VASP calculation (PBE-GGA) on a geometry-optimized KPClO3 structure.

It has space group C2/c (No. 15), with a = 9.194 Å, b = 12.210 Å, c = 4.724 Å, α = 90.00°, β = 95.08° and γ = 90.00°. The distinct sites, in fractional coordinates, are K at (0.000, 0.244, 0.250), P at (0.000, 0.459, 0.750), Cl at (0.000, 0.016, 0.750), O at (0.000, 0.334, 0.750) and O at (0.113, 0.472, 0.460).

Its volume is 22.01 A^3/atom. As for the total DFT energy (no corrections): -5.56 eV per atom.

[5]
VASP calculation (PBE-GGA) on a geometry-optimized KPClO2 structure.

It has space group P4/mmm (No. 123), with a = 4.435 Å, b = 4.435 Å, c = 4.422 Å, α = 90.00°, β = 90.00° and γ = 90.00°. The distinct sites, in fractional coordinates, are K at (0.000, 0.000, 0.000), P at (0.500, 0.500, 0.000), Cl at (0.500, 0.500, 0.500) and O at (0.000, 0.500, 0.500).

Its volume is 17.40 A^3/atom. As for the total DFT energy (no corrections): -3.03 eV per atom. The offset from the most stable computed form is 0.00 kJ per mole of atoms.

[6]
VASP calculation (PBE-GGA) on a geometry-optimized KP2ClO structure.

It has space group P4/mmm (No. 123), with a = 4.749 Å, b = 4.749 Å, c = 4.755 Å, α = 90.00°, β = 90.00° and γ = 90.00°. The distinct sites, in fractional coordinates, are K at (0.000, 0.000, 0.000), P at (0.000, 0.500, 0.500), Cl at (0.500, 0.500, 0.500) and O at (0.500, 0.500, 0.000).

Its volume is 21.45 A^3/atom. As for the total DFT energy (no corrections): -2.92 eV per atom. The offset from the most stable computed form is 98.69 kJ per mole of atoms.

[7]
VASP calculation (PBE-GGA) on a geometry-optimized KP2ClO structure.

It has space group P4/mmm (No. 123), with a = 4.017 Å, b = 4.017 Å, c = 7.608 Å, α = 90.00°, β = 90.00° and γ = 90.00°. The distinct sites, in fractional coordinates, are K at (0.000, 0.000, 0.000), P at (0.000, 0.500, 0.500), Cl at (0.500, 0.500, 0.000) and O at (0.500, 0.500, 0.500).

Its volume is 24.55 A^3/atom. As for the total DFT energy (no corrections): -3.94 eV per atom. The offset from the most stable computed form is 0.00 kJ per mole of atoms.

[8]
VASP calculation (PBE-GGA) on a geometry-optimized KP2ClO structure.

It has space group P4/mmm (No. 123), with a = 7.309 Å, b = 7.309 Å, c = 5.766 Å, α = 90.00°, β = 90.00° and γ = 90.00°. The distinct sites, in fractional coordinates, are K at (0.000, 0.000, 0.000), P at (0.000, 0.500, 0.000), Cl at (0.000, 0.000, 0.500) and O at (0.500, 0.500, 0.500).

Its volume is 61.60 A^3/atom. As for the total DFT energy (no corrections): -2.36 eV per atom. The offset from the most stable computed form is 152.54 kJ per mole of atoms.

[9]
VASP calculation (PBE-GGA) on a geometry-optimized KPCl2O structure.

It has space group P4/mmm (No. 123), with a = 5.932 Å, b = 5.932 Å, c = 3.373 Å, α = 90.00°, β = 90.00° and γ = 90.00°. The distinct sites, in fractional coordinates, are K at (0.000, 0.000, 0.000), P at (0.500, 0.500, 0.000), Cl at (0.000, 0.500, 0.500) and O at (0.500, 0.500, 0.500).

Its volume is 23.74 A^3/atom. As for the total DFT energy (no corrections): -3.64 eV per atom. The offset from the most stable computed form is 0.00 kJ per mole of atoms.

[10]
VASP calculation (PBE-GGA) on a geometry-optimized K3Pa2Cl2O5 structure.

It has space group I4/mmm (No. 139), with a = 4.404 Å, b = 4.404 Å, c = 25.870 Å, α = 90.00°, β = 90.00° and γ = 90.00°. The distinct sites, in fractional coordinates, are K at (0.000, 0.000, 0.000), K at (0.000, 0.000, 0.175), Pa at (0.000, 0.000, 0.415), Cl at (0.000, 0.000, 0.303), O at (0.000, 0.000, 0.500) and O at (0.000, 0.500, 0.089).

Its volume is 20.90 A^3/atom. As for the total DFT energy (no corrections): -6.98 eV per atom.

[11]
VASP calculation (PBE-GGA) on a geometry-optimized KPaClO2 structure.

It has space group P4mm (No. 99), with a = 4.144 Å, b = 4.144 Å, c = 6.792 Å, α = 90.00°, β = 90.00° and γ = 90.00°. The distinct sites, in fractional coordinates, are K at (0.000, 0.000, 0.000), Pa at (0.500, 0.500, 0.381), Cl at (0.500, 0.500, 0.790) and O at (0.000, 0.500, 0.285).

Its volume is 23.32 A^3/atom. As for the total DFT energy (no corrections): -7.09 eV per atom.

[12]
VASP calculation (PBE-GGA) on a geometry-optimized K2PbClO2 structure.

It has space group P4/mmm (No. 123), with a = 4.505 Å, b = 4.505 Å, c = 6.853 Å, α = 90.00°, β = 90.00° and γ = 90.00°. The distinct sites, in fractional coordinates, are K at (0.000, 0.000, 0.250), Pb at (0.500, 0.500, 0.000), Cl at (0.500, 0.500, 0.500) and O at (0.000, 0.500, 0.000).

Its volume is 23.18 A^3/atom. As for the total DFT energy (no corrections): -4.26 eV per atom.

[13]
VASP calculation (PBE-GGA) on a geometry-optimized KPdCl2O structure.

It has space group P4/mmm (No. 123), with a = 5.254 Å, b = 5.254 Å, c = 3.837 Å, α = 90.00°, β = 90.00° and γ = 90.00°. The distinct sites, in fractional coordinates, are K at (0.000, 0.000, 0.000), Pd at (0.500, 0.500, 0.500), Cl at (0.000, 0.500, 0.500) and O at (0.500, 0.500, 0.000).

Its volume is 21.18 A^3/atom. As for the total DFT energy (no corrections): -3.86 eV per atom.

[14]
VASP calculation (PBE-GGA) on a geometry-optimized K2PdClO structure.

It has space group P4/mmm (No. 123), with a = 5.658 Å, b = 5.658 Å, c = 3.875 Å, α = 90.00°, β = 90.00° and γ = 90.00°. The distinct sites, in fractional coordinates, are K at (0.000, 0.500, 0.000), Pd at (0.000, 0.000, 0.500), Cl at (0.500, 0.500, 0.500) and O at (0.000, 0.000, 0.000).

Its volume is 24.81 A^3/atom. As for the total DFT energy (no corrections): -3.98 eV per atom.

[15]
VASP calculation (PBE-GGA) on a geometry-optimized K2PrClO2 structure.

It has space group P4/mmm (No. 123), with a = 4.685 Å, b = 4.685 Å, c = 6.413 Å, α = 90.00°, β = 90.00° and γ = 90.00°. The distinct sites, in fractional coordinates, are K at (0.000, 0.000, 0.244), Pr at (0.500, 0.500, 0.000), Cl at (0.500, 0.500, 0.500) and O at (0.000, 0.500, 0.000).

Its volume is 23.46 A^3/atom. As for the total DFT energy (no corrections): -5.26 eV per atom.

[16]
VASP calculation (PBE-GGA) on a geometry-optimized K2PuCl3O3 structure.

It has space group P-62m (No. 189), with a = 8.2877 Å, b = 8.2877 Å, c = 3.2674 Å, α = 90.00°, β = 90.00° and γ = 120.00°. The distinct sites, in fractional coordinates, are K at (0.3333, 0.6667, 0.0000), Pu at (0.0000, 0.0000, 0.5000), Cl at (0.0000, 0.3730, 0.5000) and O at (0.0000, 0.8302, 0.0000).

Its volume is 21.59 A^3/atom. As for the total DFT energy (no corrections): -5.75 eV per atom.

[17]
VASP calculation (PBE-GGA) on a geometry-optimized K2PuCl4O2 structure.

It has space group C2/m (No. 12), with a = 11.670 Å, b = 7.511 Å, c = 5.500 Å, α = 90.00°, β = 91.25° and γ = 90.00°. The distinct sites, in fractional coordinates, are K at (0.158, 0.000, 0.275), Pu at (0.000, 0.500, 0.000), Cl at (0.112, 0.240, 0.775) and O at (0.111, 0.500, 0.227).

Its volume is 26.78 A^3/atom. As for the total DFT energy (no corrections): -5.76 eV per atom.

[18]
VASP calculation (PBE-GGA) on a geometry-optimized K3Rb4Cl3O2 structure.

It has space group Imm2 (No. 44), with a = 5.214 Å, b = 27.259 Å, c = 5.530 Å, α = 90.00°, β = 90.00° and γ = 90.00°. The distinct sites, in fractional coordinates, are K at (0.000, 0.000, 0.000), K at (0.000, 0.404, 0.506), Rb at (0.000, 0.094, 0.525), Rb at (0.000, 0.195, 0.035), Cl at (0.000, 0.319, 0.035), Cl at (0.000, 0.500, 0.100) and O at (0.000, 0.097, 0.032).

Its volume is 32.75 A^3/atom. As for the total DFT energy (no corrections): -3.33 eV per atom.

[19]
VASP calculation (PBE-GGA) on a geometry-optimized KRb3Cl2O structure.

It has space group Immm (No. 71), with a = 5.192 Å, b = 5.452 Å, c = 16.948 Å, α = 90.00°, β = 90.00° and γ = 90.00°. The distinct sites, in fractional coordinates, are K at (0.000, 0.000, 0.000), Rb at (0.000, 0.000, 0.500), Rb at (0.000, 0.500, 0.340), Cl at (0.000, 0.500, 0.141) and O at (0.000, 0.500, 0.500).

Its volume is 34.27 A^3/atom. As for the total DFT energy (no corrections): -3.32 eV per atom.

[20]
VASP calculation (PBE-GGA) on a geometry-optimized K2ReCl5O structure.

It has space group I4mm (No. 107), with a = 7.296 Å, b = 7.296 Å, c = 9.123 Å, α = 90.00°, β = 90.00° and γ = 90.00°. The distinct sites, in fractional coordinates, are K at (0.000, 0.500, 0.000), Re at (0.000, 0.000, 0.230), Cl at (0.000, 0.000, 0.497), Cl at (0.232, 0.232, 0.251) and O at (0.000, 0.000, 0.042).

Its volume is 26.98 A^3/atom. As for the total DFT energy (no corrections): -4.56 eV per atom. The offset from the most stable computed form is 1.05 kJ per mole of atoms.